No. 1
A relaxed Li2TlHg2Sb crystal. Source: Alexandria via LeMat-Bulk, functional GGA-PBE.

Unit cell a=4.7526 b=4.7526 c=7.5585 alpha=90.00 beta=90.00 gamma=120.00
Space group P-3m1 (No. 164)
Asymmetric unit:
Li 0.3333 0.6667 0.1224 [2 per cell]
Tl 0.0000 0.0000 0.5000 [1 per cell]
Hg 0.3333 0.6667 0.7293 [2 per cell]
Sb 0.0000 0.0000 0.0000 [1 per cell]

**Formation energy from raw total energies**: -1.529 eV/f.u.
**N(E_F)**: 1.883 states/eV per cell
**Density**: 8.32 g/cm³


No. 2
A relaxed LiTmHgSb crystal. Source: Alexandria via LeMat-Bulk, functional GGA-PBE.

Unit cell a=7.206 b=7.206 c=7.206 alpha=90.00 beta=90.00 gamma=90.00
Space group F-43m (No. 216)
Asymmetric unit:
Li 0.000 0.000 0.000 [4 per cell]
Tm 0.000 0.000 0.500 [4 per cell]
Hg 0.250 0.250 0.250 [4 per cell]
Sb 0.250 0.250 0.750 [4 per cell]

**Formation energy from raw total energies**: -2.051 eV/f.u.
**N(E_F)**: 12.075 states/eV per cell
**Density**: 8.84 g/cm³


No. 3
A relaxed LiUHgSb crystal. Source: Alexandria via LeMat-Bulk, functional GGA-PBE.

Unit cell a=7.271 b=7.271 c=7.271 alpha=90.00 beta=90.00 gamma=90.00
Space group F-43m (No. 216)
Asymmetric unit:
Li 0.000 0.000 0.000 [4 per cell]
U 0.000 0.000 0.500 [4 per cell]
Hg 0.250 0.250 0.250 [4 per cell]
Sb 0.250 0.250 0.750 [4 per cell]

**Formation energy from raw total energies**: -0.456 eV/f.u.
**N(E_F)**: 26.372 states/eV per cell
**Density**: 9.80 g/cm³


No. 4
A relaxed Li2HgSbW crystal. Source: Alexandria via LeMat-Bulk, functional GGA-PBE.

Unit cell a=5.467 b=5.467 c=5.145 alpha=90.00 beta=90.00 gamma=90.00
Space group P4/mmm (No. 123)
Asymmetric unit:
Li 0.000 0.500 0.000 [2 per cell]
Hg 0.000 0.000 0.500 [1 per cell]
Sb 0.500 0.500 0.500 [1 per cell]
W 0.500 0.500 0.000 [1 per cell]

**Formation energy from raw total energies**: 4.328 eV/f.u.
**N(E_F)**: 2.497 states/eV per cell
**Density**: 5.62 g/cm³


No. 5
A relaxed LiZnHgSb crystal. Source: Alexandria via LeMat-Bulk, functional GGA-PBE.

Unit cell a=6.938 b=6.938 c=6.938 alpha=90.00 beta=90.00 gamma=90.00
Space group F-43m (No. 216)
Asymmetric unit:
Li 0.000 0.000 0.000 [4 per cell]
Zn 0.000 0.000 0.500 [4 per cell]
Hg 0.250 0.250 0.750 [4 per cell]
Sb 0.250 0.250 0.250 [4 per cell]

**Formation energy from raw total energies**: -0.571 eV/f.u.
**N(E_F)**: 5.281 states/eV per cell
**Density**: 7.85 g/cm³


No. 6
A relaxed LiZnHg2Sb crystal. Source: Alexandria via LeMat-Bulk, functional GGA-PBE.

Unit cell a=5.097 b=5.097 c=4.884 alpha=90.00 beta=90.00 gamma=90.00
Space group P4/mmm (No. 123)
Asymmetric unit:
Li 0.000 0.000 0.000 [1 per cell]
Zn 0.000 0.000 0.500 [1 per cell]
Hg 0.000 0.500 0.500 [2 per cell]
Sb 0.500 0.500 0.000 [1 per cell]

**Formation energy from raw total energies**: 1.066 eV/f.u.
**N(E_F)**: 2.091 states/eV per cell
**Density**: 7.79 g/cm³